Below is a relaxed TbPa6 crystal, with properties calculated at the GGA-PBE level.

DOS at the Fermi energy (states/eV/f.u.): 22.69
Calculated volume (Å³/atom): 31.949
ΔH_f (0 K) (eV per atom): 1.3812
VASP energy (eV per cell): -103.87

Unit cell a=7.648 b=7.648 c=7.648 alpha=90.00 beta=90.00 gamma=90.00
Space group Im-3m (No. 229)
Inequivalent atoms, fractional coordinates:
1 Tb 0.000 0.000 0.000 (multiplicity 2)
2 Pa 0.000 0.250 0.500 (multiplicity 12)



Below is a relaxed TbPa3 crystal, with properties calculated at the GGA-PBE level.

DOS at the Fermi energy (states/eV/f.u.): 9.23
Calculated volume (Å³/atom): 25.881
ΔH_f (0 K) (eV per atom): 0.1857
VASP energy (eV per cell): -32.38

Unit cell a=3.191 b=5.585 c=5.808 alpha=90.00 beta=90.00 gamma=90.00
Space group Pmm2 (No. 25)
Inequivalent atoms, fractional coordinates:
1 Tb 0.000 0.000 0.000 (multiplicity 1)
2 Pa 0.000 0.500 0.723 (multiplicity 1)
3 Pa 0.500 0.000 0.503 (multiplicity 1)
4 Pa 0.500 0.500 0.235 (multiplicity 1)



Below is a relaxed TbPa3 crystal, with properties calculated at the GGA-PBE level.

DOS at the Fermi energy (states/eV/f.u.): 7.14
Calculated volume (Å³/atom): 25.999
ΔH_f (0 K) (eV per atom): 0.1652
VASP energy (eV per cell): -64.91

Unit cell a=4.687 b=4.687 c=9.468 alpha=90.00 beta=90.00 gamma=90.00
Space group I4/mmm (No. 139)
Inequivalent atoms, fractional coordinates:
1 Tb 0.000 0.000 0.000 (multiplicity 2)
2 Pa 0.000 0.000 0.500 (multiplicity 2)
3 Pa 0.000 0.500 0.250 (multiplicity 4)



Below is a relaxed Tb2Pa crystal, with properties calculated at the GGA-PBE level.

DOS at the Fermi energy (states/eV/f.u.): 5.09
Calculated volume (Å³/atom): 29.354
ΔH_f (0 K) (eV per atom): 0.1537
VASP energy (eV per cell): -36.59

Unit cell a=3.402 b=3.402 c=15.216 alpha=90.00 beta=90.00 gamma=90.00
Space group I4/mmm (No. 139)
Inequivalent atoms, fractional coordinates:
1 Tb 0.000 0.000 0.156 (multiplicity 4)
2 Pa 0.000 0.000 0.500 (multiplicity 2)



Below is a relaxed TbPa3 crystal, with properties calculated at the GGA-PBE level.

DOS at the Fermi energy (states/eV/f.u.): 10.53
Calculated volume (Å³/atom): 26.069
ΔH_f (0 K) (eV per atom): 0.3824
VASP energy (eV per cell): -126.35

Unit cell a=7.472 b=7.472 c=7.472 alpha=90.00 beta=90.00 gamma=90.00
Space group Fm-3m (No. 225)
Inequivalent atoms, fractional coordinates:
1 Tb 0.000 0.000 0.000 (multiplicity 4)
2 Pa 0.000 0.000 0.500 (multiplicity 4)
3 Pa 0.250 0.250 0.250 (multiplicity 8)



Below is a relaxed TbPa2 crystal, with properties calculated at the GGA-PBE level.

DOS at the Fermi energy (states/eV/f.u.): 8.15
Calculated volume (Å³/atom): 27.489
ΔH_f (0 K) (eV per atom): 0.2326
VASP energy (eV per cell): -183.39

Unit cell a=8.705 b=8.705 c=8.705 alpha=90.00 beta=90.00 gamma=90.00
Space group Fd-3m (No. 227, origin choice 2)
Inequivalent atoms, fractional coordinates:
1 Tb 0.125 0.125 0.125 (multiplicity 8)
2 Pa 0.000 0.000 0.500 (multiplicity 16)



Below is a relaxed TbPa3 crystal, with properties calculated at the GGA-PBE level.

DOS at the Fermi energy (states/eV/f.u.): 9.44
Calculated volume (Å³/atom): 26.159
ΔH_f (0 K) (eV per atom): 0.1887
VASP energy (eV per cell): -32.36

Unit cell a=4.712 b=4.712 c=4.712 alpha=90.00 beta=90.00 gamma=90.00
Space group Pm-3m (No. 221)
Inequivalent atoms, fractional coordinates:
1 Tb 0.000 0.000 0.000 (multiplicity 1)
2 Pa 0.000 0.500 0.500 (multiplicity 3)



Below is a relaxed Tb4Pa crystal, with properties calculated at the GGA-PBE level.

DOS at the Fermi energy (states/eV/f.u.): 11.58
Calculated volume (Å³/atom): 35.807
ΔH_f (0 K) (eV per atom): 0.8072
VASP energy (eV per cell): -23.98

Unit cell a=5.636 b=5.636 c=5.636 alpha=90.00 beta=90.00 gamma=90.00
Space group Pm-3m (No. 221)
Inequivalent atoms, fractional coordinates:
1 Tb 0.000 0.000 0.000 (multiplicity 1)
2 Tb 0.000 0.500 0.500 (multiplicity 3)
3 Pa 0.500 0.500 0.500 (multiplicity 1)